No. 1
# Ta2V2GaOs5, optimized geometry, DFT PBE
data_Ta2V2GaOs5
_symmetry_space_group_name_H-M 'P 4/m b m'
_symmetry_Int_Tables_number 127
_symmetry_space_group_name_Hall '-P 4 2ab'
_cell_length_a 8.9962
_cell_length_b 8.9962
_cell_length_c 3.8200
_cell_angle_alpha 90.00
_cell_angle_beta 90.00
_cell_angle_gamma 90.00
loop_
_atom_site_label
_atom_site_type_symbol
_atom_site_fract_x
_atom_site_fract_y
_atom_site_fract_z
Ta1 Ta 0.1826 0.3174 0.0000
V1 V 0.1180 0.6180 0.0000
Ga1 Ga 0.0000 0.0000 0.0000
Os1 Os 0.0000 0.5000 0.5000
Os2 Os 0.0585 0.7974 0.5000
# Density of states at the Fermi level, states/eV per cell: 19.1
# Energy of formation, eV/atom: 0.06

No. 2
# AlOs3S, optimized geometry, DFT PBE
data_AlOs3S
_symmetry_space_group_name_H-M 'P m -3 m'
_symmetry_Int_Tables_number 221
_symmetry_space_group_name_Hall '-P 4 2 3'
_cell_length_a 4.4613
_cell_length_b 4.4613
_cell_length_c 4.4613
_cell_angle_alpha 90.00
_cell_angle_beta 90.00
_cell_angle_gamma 90.00
loop_
_atom_site_label
_atom_site_type_symbol
_atom_site_fract_x
_atom_site_fract_y
_atom_site_fract_z
Al1 Al 0.0000 0.0000 0.0000
Os1 Os 0.0000 0.0000 0.5000
S1 S 0.5000 0.5000 0.5000
# Density of states at the Fermi level, states/eV per cell: 5.7
# E_form (uncorrected), eV/f.u.: 10.78

No. 3
# LuPuNb, optimized geometry, DFT PBE
data_LuPuNb
_symmetry_space_group_name_H-M 'I 4 m m'
_symmetry_Int_Tables_number 107
_symmetry_space_group_name_Hall 'I 4 -2'
_cell_length_a 3.5891
_cell_length_b 3.5891
_cell_length_c 10.9743
_cell_angle_alpha 90.00
_cell_angle_beta 90.00
_cell_angle_gamma 90.00
loop_
_atom_site_label
_atom_site_type_symbol
_atom_site_fract_x
_atom_site_fract_y
_atom_site_fract_z
Lu1 Lu 0.0000 0.0000 0.0000
Pu1 Pu 0.0000 0.0000 0.6999
Nb1 Nb 0.0000 0.0000 0.3230
# Density of states at the Fermi level, states/eV per cell: 14.8
# Energy of formation, eV/atom: 0.27

No. 4
# CaZr2Si, optimized geometry, DFT PBE
data_CaZr2Si
_symmetry_space_group_name_H-M 'I 4/m m m'
_symmetry_Int_Tables_number 139
_symmetry_space_group_name_Hall '-I 4 2'
_cell_length_a 4.3278
_cell_length_b 4.3278
_cell_length_c 9.2926
_cell_angle_alpha 90.00
_cell_angle_beta 90.00
_cell_angle_gamma 90.00
loop_
_atom_site_label
_atom_site_type_symbol
_atom_site_fract_x
_atom_site_fract_y
_atom_site_fract_z
Ca1 Ca 0.0000 0.0000 0.0000
Zr1 Zr 0.0000 0.5000 0.2500
Si1 Si 0.0000 0.0000 0.5000
# Density of states at the Fermi level, states/eV per cell: 7.7
# E_form (uncorrected), eV/f.u.: -0.02

Quick rundown of magnetization, same order as above: 0.000; 0.773; 5.278; 0.000 μB/f.u.